ScAsH | PBE-GGA | relaxed

**Crystal system**: orthorhombic
**Energy above the lowest structure with this stoichiometry**: 17 meV/atom
**E**: -66.403 eV/cell
**Volume**: 212.6 Å³ per cell

```
data_ScAsH
_cell_length_a 3.778
_cell_length_b 3.792
_cell_length_c 14.845
_cell_angle_alpha 90.00
_cell_angle_beta 90.00
_cell_angle_gamma 90.00
_symmetry_space_group_name_H-M 'I m m m'
_symmetry_Int_Tables_number 71
_symmetry_space_group_name_Hall '-I 2 2'
loop_
_atom_site_label
_atom_site_type_symbol
_atom_site_fract_x
_atom_site_fract_y
_atom_site_fract_z
Sc1 Sc 0.000 0.000 0.167
As1 As 0.000 0.000 0.352
H1 H 0.000 0.102 0.000
```